ReSnI: relaxed, PBE.

Cell: 3.4549 5.2241 10.2263 Å, 104.41 99.72 90.00°
Last column: nearest neighbours and their distance in Å.
Atoms (fractional coordinates):
Re  0.1737  0.1755  0.3467  2 Sn 2.63, 4 I 2.69-2.90
Re  0.8263  0.8245  0.6533  2 Sn 2.63, 4 I 2.69-2.90
Sn  0.4278  0.9253  0.8568  2 Re 2.63, 1 Sn 2.79
Sn  0.5722  0.0747  0.1432  2 Re 2.63, 1 Sn 2.79
I  0.2076  0.7086  0.4150  4 Re 2.69-2.90
I  0.7924  0.2914  0.5850  4 Re 2.69-2.90

Output
**E_form (uncorrected)**: 931 meV/atom
**VASP energy**: -5.0694 eV/atom
**Magnetization**: 0.00 μB/f.u.
**DOS at the Fermi energy**: 0.496 states/eV/atom